(1)
This record from the Alexandria database describes crystalline Ga2CoTc at its relaxed geometry. The functional is PBE.

Results
DOS(E_F) (states/eV/cell): 4.20
Energy of formation (eV per formula unit): -0.6
Energy relative to the lowest polymorph listed for this composition (eV per formula unit): 0.00
Total energy (Ry/atom): -0.443

Geometry as POSCAR:
```
Ga2CoTc
1.0
-2.517 -1.793 0.497
0.704 -1.976 -3.566
2.357 -2.755 1.992
Co Tc Ga
1 1 2
direct
0.500 0.500 0.500
0.500 0.000 0.000
0.000 0.000 0.500
0.000 0.500 0.000
```


(2)
This record from the Alexandria database describes crystalline GaCo2TcTe at its relaxed geometry. The functional is PBE.

Results
DOS(E_F) (states/eV/cell): 7.70
Total energy (Ry/atom): -0.380
Uncorrected formation energy (eV/atom): 0.9855

Geometry as POSCAR:
```
GaCo2TcTe
1.0
-2.341 -1.794 3.256
2.018 -4.197 -0.862
3.212 0.961 2.839
Te Co Tc Ga
1 2 1 1
direct
0.500 0.500 0.500
0.000 0.000 0.500
0.500 0.000 0.000
0.000 0.500 0.000
0.000 0.000 0.000
```


(3)
This record from the Alexandria database describes crystalline ThGa3CoTc at its relaxed geometry. The functional is PBE.

Results
DOS(E_F) (states/eV/cell): 6.46
Energy of formation (eV per formula unit): -1.2
Total energy (Ry/atom): -0.431

Geometry as POSCAR:
```
ThGa3CoTc
1.0
5.912 0.000 0.000
0.000 7.613 0.000
0.000 -3.806 5.122
Th Ga Co Tc
2 6 2 2
direct
0.750 0.280 0.561
0.250 0.720 0.439
0.250 0.190 0.380
0.000 0.245 0.000
0.500 0.755 0.000
0.500 0.245 0.000
0.000 0.755 0.000
0.750 0.810 0.620
0.250 0.961 0.922
0.750 0.039 0.078
0.250 0.428 0.855
0.750 0.572 0.145
```